Record 1
Below is crystalline AcPaHg4 at its relaxed geometry, with properties calculated at the PBE level.

energy of formation = 0.021 eV per atom
uncorrected energy = -2.448 eV/atom
space group = F-43m (216)

a b c (Å): 6.093 6.093 6.093
angles (deg): 60.00 60.00 60.00
Sites, in units of the cell vectors:
Ac 0.000 0.000 0.000
Pa 0.750 0.750 0.750
Hg 0.376 0.376 0.376
Hg 0.376 0.376 0.873
Hg 0.376 0.873 0.376
Hg 0.873 0.376 0.376

Record 2
Below is crystalline K2ZrTl at its relaxed geometry, with properties calculated at the PBE level.

energy of formation = 0.601 eV per atom
excess energy over the best structure of this formula in the dataset = 267 meV/atom
uncorrected energy = -2.676 eV/atom
space group = Pmmm (47)

a b c (Å): 3.286 6.302 6.515
angles (deg): 90.00 90.00 90.00
Sites, in units of the cell vectors:
K 0.000 0.000 0.246
K 0.000 0.000 0.754
Zr 0.500 0.500 0.500
Tl 0.500 0.500 0.000

Record 3
Below is crystalline CuTcCl2 at its relaxed geometry, with properties calculated at the PBE level.

excess energy over the best structure of this formula in the dataset = 156 meV/atom
raw formation energy = 15 kJ per mole of atoms
uncorrected energy = -4.388 eV/atom
space group = Cm (8)

a b c (Å): 6.266 6.266 4.545
angles (deg): 91.85 91.85 27.81
Sites, in units of the cell vectors:
Cu 0.000 0.000 0.000
Tc 0.331 0.331 0.994
Cl 0.328 0.328 0.494
Cl 0.650 0.650 0.973

Computed values of N(E_F) (unit: states/eV/cell) for the preceding records, in sequence: 7.28, 4.61, 1.93.